(1)
! Os2ICl (PBE-GGA, optimized geometry); values from VASP
&SYSTEM
  ibrav = 0, nat = 8, ntyp = 3
/
ATOMIC_SPECIES
Cl 35.45 Cl.upf
I 126.90 I.upf
Os 190.23 Os.upf
CELL_PARAMETERS angstrom
4.660 0.000 0.000
0.000 4.660 0.000
2.330 2.330 7.667
ATOMIC_POSITIONS crystal
Cl 0.250 0.750 0.500
Cl 0.500 0.500 0.000
I 0.000 0.000 0.000
I 0.750 0.250 0.500
Os 0.504 0.125 0.250
Os 0.375 0.496 0.750
Os 0.246 0.625 0.250
Os 0.875 0.754 0.750
! * E above lowest polymorph: 0 meV per atom
! * ΔE_f (raw): 1.273 eV per atom


(2)
! Ce5Cu3Hg3 (PBE-GGA, optimized geometry); values from VASP
&SYSTEM
  ibrav = 0, nat = 11, ntyp = 3
/
ATOMIC_SPECIES
Ce 140.12 Ce.upf
Cu 63.55 Cu.upf
Hg 200.59 Hg.upf
CELL_PARAMETERS angstrom
3.088 0.000 0.000
0.000 8.390 -4.844
0.000 0.000 9.688
ATOMIC_POSITIONS crystal
Ce 0.500 0.667 0.333
Ce 0.500 0.000 0.339
Ce 0.500 0.339 0.000
Ce 0.500 0.333 0.667
Ce 0.500 0.661 0.661
Cu 0.500 0.856 0.000
Cu 0.500 0.144 0.144
Cu 0.500 0.000 0.856
Hg 0.000 0.631 0.000
Hg 0.000 0.000 0.631
Hg 0.000 0.369 0.369
! * electronic total energy: -3.80 eV/atom


(3)
! P2HSe (PBE-GGA, optimized geometry); values from VASP
&SYSTEM
  ibrav = 0, nat = 8, ntyp = 3
/
ATOMIC_SPECIES
P 30.97 P.upf
H 1.01 H.upf
Se 78.96 Se.upf
CELL_PARAMETERS angstrom
4.795 0.000 0.000
1.628 5.849 -0.001
0.347 2.285 6.151
ATOMIC_POSITIONS crystal
P 0.125 0.518 0.445
P 0.644 0.171 0.271
P 0.847 0.844 0.181
P 0.928 0.196 0.529
H 0.099 0.923 0.097
H 0.303 0.416 0.877
Se 0.004 0.558 0.779
Se 0.380 0.942 0.523
! * E above lowest polymorph: 91 meV per atom


(4)
! LiZnRh2 (PBE-GGA, optimized geometry); values from VASP
&SYSTEM
  ibrav = 0, nat = 4, ntyp = 3
/
ATOMIC_SPECIES
Rh 102.91 Rh.upf
Zn 65.41 Zn.upf
Li 6.94 Li.upf
CELL_PARAMETERS angstrom
-2.756 1.518 -2.273
-1.030 -2.484 -0.409
-4.132 -1.883 3.752
ATOMIC_POSITIONS crystal
Rh 0.500 0.257 0.243
Rh 0.000 0.995 0.004
Zn 0.000 0.495 0.505
Li 0.500 0.754 0.747
! * electronic total energy: -4.65 eV/atom